# 1
This record from Alexandria describes a relaxed structure of RuPt3Rh7. The functional is GGA-PBE.

The calculated total energy comes out at -74.415 eV per formula unit. Its energy of formation from the pure elements is 404 meV per atom.

The space group is C2/m (No. 12) and the conventional cell measures 9.239, 9.552 and 4.646 Å, with angles of 90.00, 119.79 and 90.00 degrees. The distinct sites, in fractional coordinates, are Ru at (0.000, 0.000, 0.000), Pt at (0.000, 0.271, 0.500), Pt at (0.000, 0.500, 0.000), Rh at (0.000, 0.000, 0.500), Rh at (0.164, 0.241, 0.163) and Rh at (0.180, 0.500, 0.674).

=====

# 2
This record from Alexandria describes a relaxed structure of Pm6Ge3SbS2. The functional is GGA-PBE.

The calculated total energy comes out at -69.923 eV per formula unit. The calculation puts the uncorrected formation energy at -1.266 eV per atom.

The space group is C2/m (No. 12) and the conventional cell measures 18.523, 4.195 and 8.570 Å, with angles of 90.00, 103.90 and 90.00 degrees. The distinct sites, in fractional coordinates, are Pm at (0.003, 0.000, 0.263), Pm at (0.168, 0.500, 0.581), Pm at (0.172, 0.500, 0.089), Ge at (0.000, 0.500, 0.500), Ge at (0.165, 0.000, 0.830), Sb at (0.000, 0.500, 0.000) and S at (0.169, 0.000, 0.337).

=====

# 3
This record from Alexandria describes a relaxed structure of Tb2Sc2Se3S2. The functional is GGA-PBE.

The calculated total energy comes out at -52.560 eV per formula unit. The calculation puts the uncorrected formation energy at -1.325 eV per atom.

The space group is I4/mmm (No. 139) and the conventional cell measures 4.983, 4.983 and 17.691 Å, with angles of 90.00, 90.00 and 90.00 degrees. The distinct sites, in fractional coordinates, are Tb at (0.000, 0.000, 0.176), Sc at (0.000, 0.500, 0.000), Se at (0.000, 0.000, 0.000), Se at (0.000, 0.500, 0.250) and S at (0.000, 0.000, 0.411).

=====

# 4
This record from Alexandria describes a relaxed structure of Ac4Tl2TeS. The functional is GGA-PBE.

The calculated total energy comes out at -36.170 eV per formula unit. The calculation puts the uncorrected formation energy at -0.967 eV per atom.

The space group is P2/m (No. 10) and the conventional cell measures 7.842, 4.501 and 8.684 Å, with angles of 90.00, 107.29 and 90.00 degrees. The distinct sites, in fractional coordinates, are Ac at (0.228, 0.000, 0.226), Ac at (0.241, 0.500, 0.763), Tl at (0.000, 0.000, 0.500), Tl at (0.500, 0.500, 0.500), Te at (0.500, 0.000, 0.000) and S at (0.000, 0.500, 0.000).

=====

# 5
This record from Alexandria describes a relaxed structure of LaBiTeN2. The functional is GGA-PBE.

The calculated total energy comes out at -25.387 eV per formula unit. The calculation puts the uncorrected formation energy at 0.643 eV per atom.

The space group is P4/mmm (No. 123) and the conventional cell measures 4.437, 4.437 and 6.561 Å, with angles of 90.00, 90.00 and 90.00 degrees. The distinct sites, in fractional coordinates, are La at (0.000, 0.000, 0.000), Bi at (0.500, 0.500, 0.500), Te at (0.000, 0.000, 0.500) and N at (0.000, 0.500, 0.000).

=====

# 6
This record from Alexandria describes a relaxed structure of Nd5ErSb5. The functional is GGA-PBE.

The calculated total energy comes out at -59.820 eV per formula unit. The calculation puts the uncorrected formation energy at -0.982 eV per atom.

The space group is C2/m (No. 12) and the conventional cell measures 14.086, 6.314 and 8.901 Å, with angles of 90.00, 108.67 and 90.00 degrees. The distinct sites, in fractional coordinates, are Nd at (0.000, 0.000, 0.000), Nd at (0.165, 0.500, 0.331), Nd at (0.171, 0.500, 0.832), Er at (0.000, 0.000, 0.500), Sb at (0.000, 0.500, 0.500), Sb at (0.164, 0.000, 0.829) and Sb at (0.165, 0.000, 0.337).

=====

# 7
This record from Alexandria describes a relaxed structure of SnBiS. The functional is GGA-PBE.

The distance to the lowest polymorph of the same formula is 19 meV/atom. The calculated total energy comes out at -12.276 eV per formula unit. The calculation puts the uncorrected formation energy at -0.088 eV per atom.

The space group is P3m1 (No. 156) and the conventional cell measures 3.6649, 3.6649 and 6.9171 Å, with angles of 90.00, 90.00 and 120.00 degrees. The distinct sites, in fractional coordinates, are Sn at (0.0000, 0.0000, 0.0000), Bi at (0.6667, 0.3333, 0.3821) and S at (0.3333, 0.6667, 0.7717).